1.
The following is a PBE calculation of a relaxed structure of Th3U2Mn4, from Alexandria.

extended XYZ file:
```
9
Lattice="5.5175 -2.0037 0.0000 5.5175 2.0037 0.0000 -1.8780 0.0000 8.4162" Properties=species:S:1:pos:R:3 pbc="T T T"
Th 0.0000 0.0000 0.0000
Th 2.9975 0.0000 5.1803
Th 6.1596 0.0000 3.2359
U 3.1197 0.0000 1.8233
U 6.0374 0.0000 6.5929
Mn -0.2124 0.0000 5.5355
Mn 1.3077 0.0000 7.6605
Mn 7.8494 0.0000 0.7557
Mn 9.3695 0.0000 2.8806
```

Calculated formation energy ... -0.066 eV/atom
Symmetry ... No. 12
VASP energy ... -9.1233 eV/atom


2.
The following is a PBE calculation of a relaxed structure of ThMnV2, from Alexandria.

extended XYZ file:
```
16
Lattice="6.4137 0.0000 0.0000 0.0000 6.4137 0.0000 0.0000 0.0000 6.4137" Properties=species:S:1:pos:R:3 pbc="T T T"
Th 0.0000 0.0000 0.0000
Th 0.0000 3.2068 3.2068
Th 3.2068 0.0000 3.2068
Th 3.2068 3.2068 0.0000
Mn 0.0000 0.0000 3.2068
Mn 0.0000 3.2068 0.0000
Mn 3.2068 0.0000 0.0000
Mn 3.2068 3.2068 3.2068
V 1.6034 1.6034 1.6034
V 1.6034 1.6034 4.8103
V 1.6034 4.8103 1.6034
V 1.6034 4.8103 4.8103
V 4.8103 1.6034 1.6034
V 4.8103 1.6034 4.8103
V 4.8103 4.8103 1.6034
V 4.8103 4.8103 4.8103
```

Calculated formation energy ... 0.339 eV/atom
Symmetry ... No. 225
VASP energy ... -8.3681 eV/atom


3.
The following is a PBE calculation of a relaxed structure of ThMn10V2, from Alexandria.

extended XYZ file:
```
26
Lattice="4.2907 -4.8616 0.0000 4.2907 4.8616 0.0000 0.0000 0.0000 8.0639" Properties=species:S:1:pos:R:3 pbc="T T T"
Th 4.2907 3.7368 6.0480
Th 4.2907 -3.7368 2.0160
Mn 2.1494 1.2133 6.0480
Mn 4.2907 3.1228 0.8858
Mn 4.2907 3.1228 3.1461
Mn 1.9992 0.0000 0.0000
Mn 1.9992 0.0000 4.0320
Mn 3.1758 1.0432 2.0160
Mn 2.1494 -1.2133 2.0160
Mn 4.2907 0.9437 4.6427
Mn 4.2907 0.9437 7.4532
Mn 3.1758 -1.0432 6.0480
Mn 5.4056 1.0432 2.0160
Mn 4.2907 -0.9437 0.6108
Mn 4.2907 -0.9437 3.4212
Mn 6.4320 1.2133 6.0480
Mn 5.4056 -1.0432 6.0480
Mn 6.5823 0.0000 0.0000
Mn 6.5823 0.0000 4.0320
Mn 4.2907 -3.1228 4.9178
Mn 4.2907 -3.1228 7.1781
Mn 6.4320 -1.2133 2.0160
V 2.1454 2.4308 0.0000
V 2.1454 2.4308 4.0320
V 2.1454 -2.4308 0.0000
V 2.1454 -2.4308 4.0320
```

Calculated formation energy ... 0.020 eV/atom
Symmetry ... No. 63
VASP energy ... -9.0071 eV/atom


- Which formula does entry 1 have?
  Th3U2Mn4


Copy entry 3 word for word.
The following is a PBE calculation of a relaxed structure of ThMn10V2, from Alexandria.

extended XYZ file:
```
26
Lattice="4.2907 -4.8616 0.0000 4.2907 4.8616 0.0000 0.0000 0.0000 8.0639" Properties=species:S:1:pos:R:3 pbc="T T T"
Th 4.2907 3.7368 6.0480
Th 4.2907 -3.7368 2.0160
Mn 2.1494 1.2133 6.0480
Mn 4.2907 3.1228 0.8858
Mn 4.2907 3.1228 3.1461
Mn 1.9992 0.0000 0.0000
Mn 1.9992 0.0000 4.0320
Mn 3.1758 1.0432 2.0160
Mn 2.1494 -1.2133 2.0160
Mn 4.2907 0.9437 4.6427
Mn 4.2907 0.9437 7.4532
Mn 3.1758 -1.0432 6.0480
Mn 5.4056 1.0432 2.0160
Mn 4.2907 -0.9437 0.6108
Mn 4.2907 -0.9437 3.4212
Mn 6.4320 1.2133 6.0480
Mn 5.4056 -1.0432 6.0480
Mn 6.5823 0.0000 0.0000
Mn 6.5823 0.0000 4.0320
Mn 4.2907 -3.1228 4.9178
Mn 4.2907 -3.1228 7.1781
Mn 6.4320 -1.2133 2.0160
V 2.1454 2.4308 0.0000
V 2.1454 2.4308 4.0320
V 2.1454 -2.4308 0.0000
V 2.1454 -2.4308 4.0320
```

Calculated formation energy ... 0.020 eV/atom
Symmetry ... No. 63
VASP energy ... -9.0071 eV/atom